DFT (GGA-PBE) results for ErNbP2 after structural relaxation.

Computed properties:
N(E_F)   0.069 states/eV/atom
Energy relative to the elements   -1.197 eV/atom
Polymorph energy (0 for the lowest one)   0 meV/atom

Lattice parameters (Å, degrees): 3.6634 3.6634 19.4289 90.00 90.00 120.00
Space group R3m (No. 160, hexagonal axes)
Unique sites:
Er: 0.0000 0.0000 0.0000 x3
Nb: 0.0000 0.0000 0.8246 x3
P: 0.0000 0.0000 0.4193 x3
P: 0.0000 0.0000 0.5699 x3

=====

DFT (GGA-PBE) results for ErNbP after structural relaxation.

Computed properties:
N(E_F)   0.505 states/eV/atom
Energy relative to the elements   -0.772 eV/atom

Lattice parameters (Å, degrees): 5.3506 7.5833 6.7998 90.00 113.78 90.00
Space group P2_1/c (No. 14)
Unique sites:
Er: 0.2182 0.1497 0.4474 x4
Nb: 0.2580 0.5807 0.5397 x4
P: 0.3908 0.6339 0.2319 x4

=====

DFT (GGA-PBE) results for ErNbP2 after structural relaxation.

Computed properties:
N(E_F)   0.374 states/eV/atom
Energy relative to the elements   -1.121 eV/atom
Polymorph energy (0 for the lowest one)   76 meV/atom

Lattice parameters (Å, degrees): 3.7280 3.7280 18.6663 90.00 90.00 120.00
Space group R-3m (No. 166, hexagonal axes)
Unique sites:
Er: 0.0000 0.0000 0.0000 x3
Nb: 0.0000 0.0000 0.5000 x3
P: 0.0000 0.0000 0.2429 x6